Here is a geometry-optimized Cs2NbTl3Se6 structure from Alexandria via LeMat-Bulk. Energies are from PBE. Values from VASP.

```
&SYSTEM
  ibrav = 0, nat = 12, ntyp = 4
/
ATOMIC_SPECIES
Cs 132.91 Cs.upf
Nb 92.91 Nb.upf
Tl 204.38 Tl.upf
Se 78.96 Se.upf
CELL_PARAMETERS angstrom
4.055 -7.985 0.000
4.055 7.985 0.000
-2.741 0.000 6.681
ATOMIC_POSITIONS angstrom
Cs 4.055 5.067 0.000
Cs 4.055 -5.067 0.000
Nb 4.055 0.000 0.000
Tl -1.370 0.000 3.340
Tl 2.684 1.850 3.340
Tl 2.684 -1.850 3.340
Se 0.341 1.871 5.137
Se 1.749 0.000 1.303
Se 0.341 -1.871 5.137
Se 5.028 1.871 1.544
Se 3.620 0.000 5.378
Se 5.028 -1.871 1.544
```

Formation energy without anion corrections (meV/atom): -654
M_tot (μB per formula unit): 0.00
Crystal system: monoclinic